First-principles (PBE) data for a relaxed KTmSnTe3 crystal, as listed in OQMD.

Cell and atoms, written as POSCAR:
```
KTmSnTe3
1.0
16.479 0.000 0.000
0.000 4.398 0.000
0.000 0.000 12.495
K Tm Sn Te
4 4 4 12
Direct
0.228 0.250 0.082
0.272 0.750 0.582
0.728 0.250 0.418
0.772 0.750 0.918
0.010 0.750 0.648
0.490 0.250 0.148
0.510 0.750 0.852
0.990 0.250 0.352
0.038 0.250 0.918
0.462 0.750 0.418
0.538 0.250 0.582
0.962 0.750 0.082
0.091 0.750 0.236
0.107 0.250 0.539
0.140 0.750 0.829
0.360 0.250 0.329
0.393 0.750 0.039
0.409 0.250 0.736
0.591 0.750 0.264
0.607 0.250 0.961
0.640 0.750 0.671
0.860 0.250 0.171
0.893 0.750 0.461
0.909 0.250 0.764
```

Calculated values
As for the theoretical density: 5.20 g/cm3.

First-principles (PBE) data for a relaxed KTmSnTe3 crystal, as listed in OQMD.

Cell and atoms, written as POSCAR:
```
KTmSnTe3
1.0
2.161 -8.804 0.000
2.161 8.804 0.000
0.000 0.000 12.559
K Tm Sn Te
2 2 2 6
Direct
0.200 0.800 0.750
0.800 0.200 0.250
0.500 0.500 0.000
0.500 0.500 0.500
0.117 0.883 0.250
0.883 0.117 0.750
0.121 0.879 0.502
0.121 0.879 0.998
0.497 0.503 0.750
0.503 0.497 0.250
0.879 0.121 0.002
0.879 0.121 0.498
```

Calculated values
As for the theoretical density: 4.93 g/cm3.

First-principles (PBE) data for a relaxed KThSn crystal, as listed in OQMD.

Cell and atoms, written as POSCAR:
```
KThSn
1.0
0.000 3.706 3.706
3.706 0.000 3.706
3.706 3.706 0.000
K Th Sn
1 1 1
Direct
0.000 0.000 0.000
0.250 0.250 0.250
0.750 0.750 0.750
```

Calculated values
As for the theoretical density: 6.36 g/cm3.

First-principles (PBE) data for a relaxed KUSn crystal, as listed in OQMD.

Cell and atoms, written as POSCAR:
```
KUSn
1.0
0.000 3.812 3.812
3.812 0.000 3.812
3.812 3.812 0.000
K U Sn
1 1 1
Direct
0.000 0.000 0.000
0.250 0.250 0.250
0.500 0.500 0.500
```

Calculated values
As for the theoretical density: 5.93 g/cm3.

First-principles (PBE) data for a relaxed KSn5W3 crystal, as listed in OQMD.

Cell and atoms, written as POSCAR:
```
KSn5W3
1.0
5.565 0.000 0.000
-2.782 4.819 0.000
0.000 0.000 9.295
K Sn W
1 5 3
Direct
0.000 0.000 0.000
0.000 0.000 0.500
0.333 0.667 0.236
0.333 0.667 0.764
0.667 0.333 0.236
0.667 0.333 0.764
0.000 0.500 0.500
0.500 0.000 0.500
0.500 0.500 0.500
```

Calculated values
As for the theoretical density: 7.89 g/cm3.

First-principles (PBE) data for a relaxed K2ZnSn2 crystal, as listed in OQMD.

Cell and atoms, written as POSCAR:
```
K2ZnSn2
1.0
4.645 0.000 0.000
-2.322 4.023 0.000
0.000 0.000 10.409
K Zn Sn
2 1 2
Direct
0.333 0.667 0.211
0.667 0.333 0.789
0.000 0.000 0.000
0.333 0.667 0.559
0.667 0.333 0.441
```

Calculated values
As for the theoretical density: 3.25 g/cm3.

| no. | energy (eV for the cell shown) |
| --- | --- |
| 1 | -99.6 |
| 2 | -48.3 |
| 3 | -9.9 |
| 4 | -13.3 |
| 5 | -58.7 |
| 6 | -11.2 |